Record 1
Dy6BiC3: optimized geometry, PBE.

a = 3.636 Å, b = 10.586 Å, c = 11.844 Å
α = 101.56°, β = 90.00°, γ = 90.00°
Element x y z (fractional)
Dy: 0.250 0.331 0.756
Dy: 0.750 0.220 0.482
Dy: 0.250 0.193 0.196
Dy: 0.250 0.612 0.952
Dy: 0.250 0.080 0.917
Dy: 0.750 0.529 0.626
Dy: 0.750 0.807 0.804
Dy: 0.750 0.388 0.048
Dy: 0.750 0.669 0.244
Dy: 0.750 0.920 0.083
Dy: 0.250 0.780 0.518
Dy: 0.250 0.471 0.374
C: 0.250 0.528 0.148
C: 0.250 0.853 0.942
C: 0.250 0.369 0.557
C: 0.750 0.147 0.058
C: 0.750 0.631 0.443
C: 0.750 0.472 0.852
Bi: 0.750 0.045 0.676
Bi: 0.250 0.955 0.324

Computed properties:
Crystal system ... monoclinic



Record 2
Dy6Bi3C2: optimized geometry, PBE.

a = 4.787 Å, b = 4.787 Å, c = 13.253 Å
α = 100.40°, β = 100.40°, γ = 90.00°
Element x y z (fractional)
Bi: 0.000 0.000 0.000
Bi: 0.819 0.819 0.638
Bi: 0.181 0.181 0.362
Dy: 0.085 0.585 0.170
Dy: 0.915 0.415 0.830
Dy: 0.415 0.915 0.830
Dy: 0.310 0.310 0.619
Dy: 0.690 0.690 0.381
Dy: 0.585 0.085 0.170
C: 0.602 0.602 0.204
C: 0.398 0.398 0.796

Computed properties:
Crystal system ... tetragonal



Record 3
Dy2BiC: optimized geometry, PBE.

a = 4.828 Å, b = 6.866 Å, c = 11.066 Å
α = 90.00°, β = 90.00°, γ = 90.00°
Element x y z (fractional)
Dy: 0.250 0.347 0.051
Dy: 0.250 0.410 0.729
Dy: 0.250 0.910 0.771
Dy: 0.250 0.847 0.449
Dy: 0.750 0.590 0.271
Dy: 0.750 0.090 0.229
Dy: 0.750 0.653 0.949
Dy: 0.750 0.153 0.551
C: 0.250 0.114 0.598
C: 0.750 0.386 0.098
C: 0.250 0.614 0.902
C: 0.750 0.886 0.402
Bi: 0.250 0.333 0.374
Bi: 0.750 0.167 0.874
Bi: 0.750 0.667 0.626
Bi: 0.250 0.833 0.126

Computed properties:
Crystal system ... orthorhombic



Record 4
Dy2BiC: optimized geometry, PBE.

a = 3.677 Å, b = 3.677 Å, c = 8.119 Å
α = 76.91°, β = 76.91°, γ = 60.00°
Element x y z (fractional)
Dy: 0.723 0.723 0.832
Dy: 0.277 0.277 0.168
Bi: 0.500 0.500 0.500
C: 0.000 0.000 0.000

Computed properties:
Crystal system ... trigonal



For reference, DFT total energy by record: -125.3; -64.3; -96.3; -24.6 eV per cell.
For reference, DFT formation energy by record: -347.0; -595.3; -440.0; -578.3 meV/atom.